# 1
This record from OQMD describes LiSiHg after structural relaxation. The functional is PBE.

```
LiSiHg
1.0
0.000 3.071 3.071
3.071 0.000 3.071
3.071 3.071 0.000
Hg Li Si
1 1 1
direct
0.250 0.250 0.250 Hg
0.750 0.750 0.750 Li
0.000 0.000 0.000 Si
```

## Properties
Excess energy over the best structure of this formula in the dataset = 0.0 meV/atom

# 2
This record from OQMD describes MgNbGaFe after structural relaxation. The functional is PBE.

```
MgNbGaFe
1.0
0.000 3.130 3.130
3.130 0.000 3.130
3.130 3.130 0.000
Fe Ga Mg Nb
1 1 1 1
direct
0.500 0.500 0.500 Fe
0.000 0.000 0.000 Ga
0.750 0.750 0.750 Mg
0.250 0.250 0.250 Nb
```

## Properties
Excess energy over the best structure of this formula in the dataset = 15.5 meV/atom
M_tot = 0.612 μB per formula unit

# 3
This record from OQMD describes SmGdB2As2Ir2 after structural relaxation. The functional is PBE.

```
SmGdB2As2Ir2
1.0
-0.412 -3.955 0.469
3.868 -0.510 -0.901
2.055 0.779 8.377
As B Gd Ir Sm
2 2 1 2 1
direct
0.000 0.000 0.145 As
0.500 0.500 0.853 As
0.000 0.000 0.395 B
0.500 0.500 0.605 B
0.000 0.000 0.792 Gd
0.500 0.000 0.501 Ir
0.000 0.500 0.501 Ir
0.500 0.500 0.209 Sm
```

## Properties
M_tot = 0.003 μB per formula unit
Total DFT energy (no corrections) = -7.081 eV per atom

# 4
This record from OQMD describes LiInGaPt after structural relaxation. The functional is PBE.

```
LiInGaPt
1.0
-0.765 -0.131 4.461
-2.161 3.423 2.028
-4.210 -0.587 1.559
Ga In Li Pt
1 1 1 1
direct
0.250 0.250 0.250 Ga
0.500 0.500 0.500 In
0.750 0.750 0.750 Li
0.000 0.000 0.000 Pt
```

## Properties
Excess energy over the best structure of this formula in the dataset = 168.7 meV/atom
M_tot = 0.002 μB per formula unit

# 5
This record from OQMD describes CsBaRe after structural relaxation. The functional is PBE.

```
CsBaRe
1.0
0.000 3.980 3.980
3.980 0.000 3.980
3.980 3.980 0.000
Ba Cs Re
1 1 1
direct
0.250 0.250 0.250 Ba
0.750 0.750 0.750 Cs
0.000 0.000 0.000 Re
```

## Properties
Excess energy over the best structure of this formula in the dataset = 0.0 meV/atom
M_tot = 2.082 μB per formula unit

# 6
This record from OQMD describes FeW3 after structural relaxation. The functional is PBE.

```
FeW3
1.0
5.468 0.000 0.000
-2.734 4.736 0.000
0.000 0.000 4.676
Fe W
2 6
direct
0.667 0.333 0.250 Fe
0.333 0.667 0.750 Fe
0.166 0.332 0.250 W
0.166 0.834 0.250 W
0.668 0.834 0.250 W
0.332 0.166 0.750 W
0.834 0.166 0.750 W
0.834 0.668 0.750 W
```

## Properties
M_tot = 2.207 μB per formula unit
Formation enthalpy at 0 K = 0.40 eV/atom

Question: Number 5 is which compound?
Answer: CsBaRe